[1]
The following is a PBE calculation of YGeCl3 after structural relaxation, from Alexandria.

DFT total energy = -21.88 eV per formula unit
E above lowest polymorph = 0.000 eV/atom
Formation energy from raw total energies = -1.053 eV per atom
SG = Pm-3m, No. 221
Crystal system = cubic

a b c (Å): 5.3280 5.3280 5.3280
angles (deg): 90.00 90.00 90.00
Last column: magnetic moment on the atom in μB.
Element x y z (fractional)
Ge 0.5000 0.5000 0.5000  0.72
Cl 0.0000 0.5000 0.0000  0.02
Cl 0.5000 0.0000 0.0000  0.02
Cl 0.0000 0.0000 0.5000  0.04
Y 0.0000 0.0000 0.0000  0.04

[2]
The following is a PBE calculation of ZnGeCl4 after structural relaxation, from Alexandria.

DFT total energy = -18.67 eV per formula unit
Formation energy from raw total energies = -0.899 eV per atom
SG = P2_1/c, No. 14
Crystal system = monoclinic

a b c (Å): 4.1636 6.3871 26.0995
angles (deg): 95.28 90.00 90.00
Element x y z (fractional)
Zn 0.9897 0.2438 0.3752
Zn 0.4897 0.7562 0.1248
Zn 0.5103 0.2438 0.8752
Zn 0.0103 0.7562 0.6248
Ge 0.1259 0.2560 0.1245
Ge 0.3741 0.2560 0.6245
Ge 0.6259 0.7440 0.3755
Ge 0.8741 0.7440 0.8755
Cl 0.3102 0.9392 0.8271
Cl 0.6896 0.4522 0.0764
Cl 0.7991 0.3948 0.8135
Cl 0.2988 0.9071 0.5630
Cl 0.7009 0.3948 0.3135
Cl 0.2009 0.6052 0.1865
Cl 0.8104 0.4522 0.5764
Cl 0.7988 0.0929 0.9370
Cl 0.2991 0.6052 0.6865
Cl 0.2012 0.9071 0.0630
Cl 0.3104 0.5478 0.9236
Cl 0.1898 0.9392 0.3271
Cl 0.8102 0.0608 0.6729
Cl 0.1896 0.5478 0.4236
Cl 0.7012 0.0929 0.4370
Cl 0.6898 0.0608 0.1729

[3]
The following is a PBE calculation of ZnGe3Cl after structural relaxation, from Alexandria.

DFT total energy = -14.27 eV per formula unit
E above lowest polymorph = 0.000 eV/atom
Formation energy from raw total energies = 0.540 eV per atom
SG = Pm-3m, No. 221
Crystal system = cubic

a b c (Å): 4.9485 4.9485 4.9485
angles (deg): 90.00 90.00 90.00
Element x y z (fractional)
Ge 0.0000 0.0000 0.5000
Ge 0.0000 0.5000 0.0000
Ge 0.5000 0.0000 0.0000
Cl 0.5000 0.5000 0.5000
Zn 0.0000 0.0000 0.0000

[4]
The following is a PBE calculation of ZnGeCl3 after structural relaxation, from Alexandria.

DFT total energy = -13.25 eV per formula unit
E above lowest polymorph = 0.000 eV/atom
Formation energy from raw total energies = -0.363 eV per atom
SG = Pm-3m, No. 221
Crystal system = cubic

a b c (Å): 5.1114 5.1114 5.1114
angles (deg): 90.00 90.00 90.00
Last column: magnetic moment on the atom in μB.
Element x y z (fractional)
Zn 0.5000 0.5000 0.5000  0.31
Cl 0.5000 0.0000 0.0000  0.04
Cl 0.0000 0.5000 0.0000  0.05
Cl 0.0000 0.0000 0.5000  0.04
Ge 0.0000 0.0000 0.0000  0.01

[5]
The following is a PBE calculation of ZnGe2Cl6 after structural relaxation, from Alexandria.

DFT total energy = -29.66 eV per formula unit
Formation energy from raw total energies = -0.897 eV per atom
SG = C2/c, No. 15
Crystal system = monoclinic

a b c (Å): 6.0178 10.6178 10.6178
angles (deg): 110.70 74.41 74.41
Element x y z (fractional)
Zn 0.2500 0.1889 0.8111
Zn 0.7500 0.8111 0.1889
Ge 0.3015 0.5515 0.7572
Ge 0.1985 0.2428 0.4485
Ge 0.8015 0.7572 0.5515
Ge 0.6985 0.4485 0.2428
Cl 0.0658 0.4547 0.2696
Cl 0.9342 0.5453 0.7304
Cl 0.1453 0.1262 0.6116
Cl 0.9113 0.2214 0.0040
Cl 0.8547 0.8738 0.3884
Cl 0.6453 0.6116 0.1262
Cl 0.3547 0.3884 0.8738
Cl 0.5658 0.2696 0.4547
Cl 0.5887 0.9960 0.7786
Cl 0.4342 0.7304 0.5453
Cl 0.0887 0.7786 0.9960
Cl 0.4113 0.0040 0.2214

[6]
The following is a PBE calculation of ZnGeCl after structural relaxation, from Alexandria.

DFT total energy = -8.67 eV per formula unit
Formation energy from raw total energies = -0.309 eV per atom
SG = C2/m, No. 12
Crystal system = monoclinic

a b c (Å): 3.9155 3.9146 13.5560
angles (deg): 106.99 90.00 120.01
Element x y z (fractional)
Zn 0.0619 0.1238 0.0930
Zn 0.9381 0.8762 0.9070
Cl 0.7916 0.5833 0.1853
Cl 0.2084 0.4167 0.8147
Ge 0.3527 0.7054 0.5287
Ge 0.6473 0.2946 0.4713

- Among the records above, which one has the highest formation energy from raw total energies?
  ZnGe3Cl

- Look up the DFT total energy of the first one.
  -21.88 eV per formula unit